29
Lattice="0.000 5.257 5.257 5.257 0.000 5.257 5.257 5.257 0.000" Properties=species:S:1:pos:R:3 comment="ScNi22B6, optimized geometry, DFT PBE" formation_enthalpy_0k_ev_per_atom=-0.25 volume_a3_per_atom=10.02 energy_ev_per_cell=-180.769 space_group="No. 225" pbc="T T T"
Sc 0.000 0.000 0.000
Ni 1.800 1.800 0.000
Ni 3.457 3.457 0.000
Ni 1.800 0.000 1.800
Ni 5.257 3.457 1.800
Ni 3.457 0.000 3.457
Ni 5.257 1.800 3.457
Ni 6.496 4.019 4.019
Ni 2.629 2.629 2.629
Ni 0.000 1.800 1.800
Ni 3.457 5.257 1.800
Ni 3.457 1.800 5.257
Ni 4.019 4.019 4.019
Ni 6.496 6.496 4.019
Ni 6.496 4.019 6.496
Ni 4.019 6.496 4.019
Ni 4.019 4.019 6.496
Ni 6.496 6.496 6.496
Ni 0.000 3.457 3.457
Ni 1.800 5.257 3.457
Ni 1.800 3.457 5.257
Ni 7.886 7.886 7.886
Ni 4.019 6.496 6.496
B 5.257 5.257 2.845
B 5.257 2.845 5.257
B 7.670 5.257 5.257
B 2.845 5.257 5.257
B 5.257 7.670 5.257
B 5.257 5.257 7.670


5
Lattice="3.780 0.000 0.000 0.000 3.780 0.000 0.000 0.000 3.780" Properties=species:S:1:pos:R:3 comment="ScNiB3, optimized geometry, DFT PBE" formation_enthalpy_0k_ev_per_atom=0.40 volume_a3_per_atom=10.80 relative_energy_ev_per_atom=0.974 energy_ev_per_cell=-30.156 space_group="No. 221" pbc="T T T"
Sc 0.000 0.000 0.000
Ni 1.890 1.890 1.890
B 0.000 1.890 1.890
B 1.890 0.000 1.890
B 1.890 1.890 0.000


10
Lattice="7.012 0.000 0.000 0.000 7.012 0.000 0.000 0.000 2.808" Properties=species:S:1:pos:R:3 comment="Sc2NiB2, optimized geometry, DFT PBE" formation_enthalpy_0k_ev_per_atom=0.47 volume_a3_per_atom=13.81 relative_energy_ev_per_atom=0.962 energy_ev_per_cell=-58.911 space_group="No. 127" pbc="T T T"
Sc 0.977 2.529 0.000
Sc 2.529 6.036 0.000
Sc 4.483 0.977 0.000
Sc 6.036 4.483 0.000
Ni 0.000 0.000 0.000
Ni 3.506 3.506 0.000
B 1.185 4.691 1.404
B 2.322 1.185 1.404
B 4.691 5.828 1.404
B 5.828 2.322 1.404


10
Lattice="1.676 -8.935 0.000 1.676 8.935 0.000 0.000 0.000 3.082" Properties=species:S:1:pos:R:3 comment="ScNiB3, optimized geometry, DFT PBE" formation_enthalpy_0k_ev_per_atom=-0.58 volume_a3_per_atom=9.23 relative_energy_ev_per_atom=0.000 energy_ev_per_cell=-70.054 space_group="No. 63" pbc="T T T"
Sc 1.676 7.571 2.311
Sc 1.676 -7.571 0.770
Ni 1.676 5.203 0.770
Ni 1.676 -5.203 2.311
B 1.676 3.170 0.770
B 1.676 2.289 2.311
B 1.676 0.451 2.311
B 1.676 -0.451 0.770
B 1.676 -2.289 0.770
B 1.676 -3.170 2.311


18
Lattice="4.987 0.000 0.000 0.000 4.987 0.000 0.000 0.000 6.913" Properties=species:S:1:pos:R:3 comment="ScNi4B4, optimized geometry, DFT PBE" formation_enthalpy_0k_ev_per_atom=-0.42 volume_a3_per_atom=9.55 energy_ev_per_cell=-119.937 space_group="No. 137" pbc="T T T"
Sc 1.247 3.740 1.728
Sc 3.740 1.247 5.185
Ni 0.004 1.247 0.786
Ni 1.247 0.004 4.243
Ni 1.247 2.489 4.243
Ni 2.489 1.247 0.786
Ni 2.498 3.740 6.127
Ni 3.740 2.498 2.670
Ni 3.740 4.983 2.670
Ni 4.983 3.740 6.127
B 0.387 1.247 2.824
B 1.247 0.387 6.281
B 1.247 2.107 6.281
B 2.107 1.247 2.824
B 2.881 3.740 4.089
B 3.740 2.881 0.632
B 3.740 4.600 0.632
B 4.600 3.740 4.089


18
Lattice="-3.393 3.394 3.828 3.393 -3.394 3.828 3.393 3.394 -3.828" Properties=species:S:1:pos:R:3 comment="ScNi12B5, optimized geometry, DFT PBE" formation_enthalpy_0k_ev_per_atom=-0.24 volume_a3_per_atom=9.79 energy_ev_per_cell=-113.353 space_group="No. 71" pbc="T T T"
Sc 0.000 0.000 0.000
Ni 3.393 -1.247 2.443
Ni 2.165 1.488 0.000
Ni 4.620 1.488 0.000
Ni 2.139 3.394 -1.664
Ni 1.254 0.000 2.163
Ni 0.000 2.147 1.385
Ni 3.393 1.247 2.443
Ni 2.139 3.394 1.664
Ni 1.254 0.000 5.492
Ni -1.228 1.905 3.828
Ni 1.228 1.905 3.828
Ni 0.000 4.641 1.385
B 3.393 0.000 0.875
B 0.960 3.394 0.000
B 0.000 0.000 3.828
B 2.433 0.000 3.828
B 0.000 3.394 2.953


20
Lattice="5.508 0.000 0.000 -2.754 4.770 0.000 0.000 0.000 8.940" Properties=species:S:1:pos:R:3 comment="ScNi3B, optimized geometry, DFT PBE" formation_enthalpy_0k_ev_per_atom=-0.44 volume_a3_per_atom=11.74 energy_ev_per_cell=-130.161 space_group="No. 194" pbc="T T T"
Sc 0.000 0.000 0.000
Sc 0.000 0.000 4.470
Sc 0.000 3.180 2.235
Sc 2.754 1.590 6.705
Ni -1.377 2.385 0.000
Ni -1.377 2.385 4.470
Ni 0.000 1.436 6.705
Ni -1.510 4.052 6.705
Ni 1.244 0.718 2.235
Ni 2.754 0.000 0.000
Ni 2.754 0.000 4.470
Ni 1.377 2.385 0.000
Ni 1.377 2.385 4.470
Ni 1.510 4.052 6.705
Ni 4.264 0.718 2.235
Ni 2.754 3.334 2.235
B 0.000 3.180 5.747
B 0.000 3.180 7.664
B 2.754 1.590 1.276
B 2.754 1.590 3.194


29
Lattice="0.000 5.324 5.324 5.324 0.000 5.324 5.324 5.324 0.000" Properties=species:S:1:pos:R:3 comment="Sc3Ni20B6, optimized geometry, DFT PBE" formation_enthalpy_0k_ev_per_atom=-0.44 volume_a3_per_atom=10.41 energy_ev_per_cell=-187.326 space_group="No. 225" pbc="T T T"
Sc 0.000 0.000 0.000
Sc 2.662 2.662 2.662
Sc 7.987 7.987 7.987
Ni 1.827 1.827 0.000
Ni 3.497 3.497 0.000
Ni 1.827 0.000 1.827
Ni 5.324 3.497 1.827
Ni 3.497 0.000 3.497
Ni 5.324 1.827 3.497
Ni 6.539 4.110 4.110
Ni 0.000 1.827 1.827
Ni 3.497 5.324 1.827
Ni 3.497 1.827 5.324
Ni 4.110 4.110 4.110
Ni 6.539 6.539 4.110
Ni 6.539 4.110 6.539
Ni 4.110 6.539 4.110
Ni 4.110 4.110 6.539
Ni 6.539 6.539 6.539
Ni 0.000 3.497 3.497
Ni 1.827 5.324 3.497
Ni 1.827 3.497 5.324
Ni 4.110 6.539 6.539
B 5.324 5.324 2.848
B 5.324 2.848 5.324
B 7.801 5.324 5.324
B 2.848 5.324 5.324
B 5.324 7.801 5.324
B 5.324 5.324 7.801


13
Lattice="-2.095 3.636 3.682 2.095 -3.636 3.682 2.095 3.636 -3.682" Properties=species:S:1:pos:R:3 comment="ScNi6B6, optimized geometry, DFT PBE" formation_enthalpy_0k_ev_per_atom=-0.15 volume_a3_per_atom=8.63 energy_ev_per_cell=-83.016 space_group="No. 71" pbc="T T T"
Sc 0.000 0.000 0.000
Ni 2.095 0.000 1.355
Ni 0.000 2.461 0.000
Ni 0.000 0.000 2.542
Ni 0.000 0.000 4.822
Ni 0.000 4.812 0.000
Ni 0.000 3.636 2.327
B 1.048 1.818 -1.841
B 1.048 -1.818 1.841
B 2.095 1.725 0.000
B -1.048 1.818 1.841
B 1.048 1.818 1.841
B 0.000 1.911 3.682


13
Lattice="-2.175 3.716 3.710 2.175 -3.716 3.710 2.175 3.716 -3.710" Properties=species:S:1:pos:R:3 comment="ScNi7B5, optimized geometry, DFT PBE" formation_enthalpy_0k_ev_per_atom=-0.18 volume_a3_per_atom=9.23 energy_ev_per_cell=-82.569 space_group="No. 44" pbc="T T T"
Sc 0.000 0.000 0.000
Ni 2.175 1.487 -0.257
Ni 2.175 0.000 1.673
Ni 0.000 0.000 2.521
Ni 0.000 2.543 0.177
Ni 0.000 0.000 4.879
Ni 0.000 4.889 0.177
Ni 0.000 2.229 3.453
B 1.242 1.879 1.817
B 3.109 1.879 1.817
B 0.000 3.716 1.948
B -0.934 1.837 5.527
B 0.934 1.837 5.527


16
Lattice="3.407 0.000 0.000 0.000 6.090 0.000 0.000 0.000 8.248" Properties=species:S:1:pos:R:3 comment="ScNi5B2, optimized geometry, DFT PBE" formation_enthalpy_0k_ev_per_atom=-0.44 volume_a3_per_atom=10.69 energy_ev_per_cell=-104.180 space_group="No. 71" pbc="T T T"
Sc 0.000 0.000 0.000
Sc 1.703 3.045 4.124
Ni 0.000 1.190 2.842
Ni 0.000 1.190 5.406
Ni 0.000 3.045 0.000
Ni 0.000 4.900 2.842
Ni 0.000 4.900 5.406
Ni 1.703 0.000 4.124
Ni 1.703 1.855 1.282
Ni 1.703 1.855 6.966
Ni 1.703 4.235 1.282
Ni 1.703 4.235 6.966
B 0.000 3.045 2.012
B 0.000 3.045 6.236
B 1.703 0.000 2.112
B 1.703 0.000 6.136


24
Lattice="-4.689 4.689 2.953 4.689 -4.689 2.953 4.689 4.689 -2.953" Properties=species:S:1:pos:R:3 comment="ScNi9B2, optimized geometry, DFT PBE" formation_enthalpy_0k_ev_per_atom=-0.18 volume_a3_per_atom=10.82 energy_ev_per_cell=-147.862 space_group="No. 141" pbc="T T T"
Sc 4.689 2.344 0.738
Sc 0.000 2.344 2.215
Ni 4.689 -2.344 2.215
Ni 3.532 -0.524 1.103
Ni 5.845 -0.524 1.103
Ni 1.820 1.188 0.373
Ni 7.557 1.188 0.373
Ni 3.532 4.164 -1.103
Ni 1.156 -0.524 1.849
Ni 1.820 3.500 0.373
Ni 2.869 -1.188 3.326
Ni 1.820 5.877 -0.373
Ni 2.869 1.188 2.580
Ni 3.532 5.213 1.103
Ni 1.156 0.524 4.056
Ni -2.869 3.500 2.580
Ni 2.869 3.500 2.580
Ni -1.156 5.213 1.849
Ni 1.156 5.213 1.849
Ni 0.000 7.033 0.738
B 0.000 0.000 0.000
B 2.344 2.344 -1.476
B 2.344 -2.344 1.476
B 0.000 4.689 0.000


10
Lattice="5.913 0.000 0.000 0.000 5.913 0.000 0.000 0.000 3.550" Properties=species:S:1:pos:R:3 comment="Sc2NiB2, optimized geometry, DFT PBE" formation_enthalpy_0k_ev_per_atom=-0.49 volume_a3_per_atom=12.41 relative_energy_ev_per_atom=0.000 energy_ev_per_cell=-68.533 space_group="No. 127" pbc="T T T"
Sc 1.067 1.890 0.000
Sc 1.890 4.847 0.000
Sc 4.023 1.067 0.000
Sc 4.847 4.023 0.000
Ni 0.000 0.000 1.775
Ni 2.957 2.957 1.775
B 0.629 3.586 1.775
B 2.327 0.629 1.775
B 3.586 5.284 1.775
B 5.284 2.327 1.775


16
Lattice="5.487 0.000 0.000 0.000 5.487 0.000 0.000 0.000 5.487" Properties=species:S:1:pos:R:3 comment="ScNiB2, optimized geometry, DFT PBE" formation_enthalpy_0k_ev_per_atom=0.13 volume_a3_per_atom=10.32 relative_energy_ev_per_atom=0.774 energy_ev_per_cell=-99.839 space_group="No. 225" pbc="T T T"
Sc 0.000 0.000 0.000
Sc 0.000 2.743 2.743
Sc 2.743 0.000 2.743
Sc 2.743 2.743 0.000
Ni 0.000 0.000 2.743
Ni 0.000 2.743 0.000
Ni 2.743 0.000 0.000
Ni 2.743 2.743 2.743
B 1.372 1.372 1.372
B 1.372 1.372 4.115
B 1.372 4.115 1.372
B 1.372 4.115 4.115
B 4.115 1.372 1.372
B 4.115 1.372 4.115
B 4.115 4.115 1.372
B 4.115 4.115 4.115


16
Lattice="3.690 0.000 0.000 0.000 3.690 0.000 0.000 0.000 13.795" Properties=species:S:1:pos:R:3 comment="ScNiB2, optimized geometry, DFT PBE" formation_enthalpy_0k_ev_per_atom=-0.29 volume_a3_per_atom=11.74 relative_energy_ev_per_atom=0.362 energy_ev_per_cell=-106.438 space_group="No. 141" pbc="T T T"
Sc 0.000 0.923 5.173
Sc 0.000 2.768 8.622
Sc 1.845 0.923 1.724
Sc 1.845 2.768 12.071
Ni 0.000 0.923 12.071
Ni 0.000 2.768 1.724
Ni 1.845 0.923 8.622
Ni 1.845 2.768 5.173
B 0.000 0.000 0.000
B 0.000 1.845 0.000
B 0.923 0.923 10.346
B 0.923 2.768 3.449
B 1.845 0.000 6.897
B 1.845 1.845 6.897
B 2.768 0.923 10.346
B 2.768 2.768 3.449


5
Lattice="4.583 0.000 0.000 0.000 4.583 0.000 0.000 0.000 4.583" Properties=species:S:1:pos:R:3 comment="Sc3NiB, optimized geometry, DFT PBE" formation_enthalpy_0k_ev_per_atom=0.01 volume_a3_per_atom=19.25 relative_energy_ev_per_atom=0.000 energy_ev_per_cell=-31.417 space_group="No. 221" pbc="T T T"
Sc 0.000 0.000 2.291
Sc 0.000 2.291 0.000
Sc 2.291 0.000 0.000
Ni 2.291 2.291 2.291
B 0.000 0.000 0.000


10
Lattice="2.886 0.000 0.000 0.000 2.886 0.000 0.000 0.000 15.680" Properties=species:S:1:pos:R:3 comment="Sc2NiB2, optimized geometry, DFT PBE" formation_enthalpy_0k_ev_per_atom=0.20 volume_a3_per_atom=13.06 relative_energy_ev_per_atom=0.690 energy_ev_per_cell=-61.636 space_group="No. 139" pbc="T T T"
Sc 0.000 0.000 1.804
Sc 0.000 0.000 13.876
Sc 1.443 1.443 6.036
Sc 1.443 1.443 9.644
Ni 0.000 0.000 7.840
Ni 1.443 1.443 0.000
B 0.000 1.443 3.920
B 0.000 1.443 11.760
B 1.443 0.000 3.920
B 1.443 0.000 11.760


18
Lattice="1.696 -5.266 0.000 1.696 5.266 0.000 0.000 0.000 10.600" Properties=species:S:1:pos:R:3 comment="ScNi5B3, optimized geometry, DFT PBE" formation_enthalpy_0k_ev_per_atom=-0.31 volume_a3_per_atom=10.52 energy_ev_per_cell=-116.176 space_group="No. 63" pbc="T T T"
Sc 1.696 3.719 7.950
Sc 1.696 -3.719 2.650
Ni 0.000 0.000 0.000
Ni 0.000 0.000 5.300
Ni 1.696 3.049 0.792
Ni 1.696 3.049 4.508
Ni 1.696 0.633 6.822
Ni 1.696 0.633 9.077
Ni 1.696 -0.633 1.523
Ni 1.696 -0.633 3.777
Ni 1.696 -3.049 6.092
Ni 1.696 -3.049 9.808
B 1.696 4.027 2.650
B 1.696 1.141 0.471
B 1.696 1.141 4.828
B 1.696 -1.141 5.771
B 1.696 -1.141 10.128
B 1.696 -4.027 7.950


5
Lattice="4.222 0.000 0.000 0.000 4.222 0.000 0.000 0.000 4.222" Properties=species:S:1:pos:R:3 comment="ScNiB3, optimized geometry, DFT PBE" formation_enthalpy_0k_ev_per_atom=2.29 volume_a3_per_atom=15.05 relative_energy_ev_per_atom=2.869 energy_ev_per_cell=-20.685 space_group="No. 221" pbc="T T T"
Sc 0.000 0.000 0.000
Ni 2.111 2.111 2.111
B 0.000 0.000 2.111
B 0.000 2.111 0.000
B 2.111 0.000 0.000


8
Lattice="2.565 1.481 4.366 -2.565 1.481 4.366 0.000 -2.961 4.366" Properties=species:S:1:pos:R:3 comment="ScNi6B, optimized geometry, DFT PBE" formation_enthalpy_0k_ev_per_atom=-0.12 volume_a3_per_atom=12.44 energy_ev_per_cell=-48.657 space_group="No. 166" pbc="T T T"
Sc 0.000 0.000 0.000
Ni -1.378 -0.796 5.513
Ni 0.000 -1.591 7.587
Ni -1.378 0.796 7.587
Ni 1.378 -0.796 5.513
Ni 0.000 1.591 5.513
Ni 1.378 0.796 7.587
B 0.000 0.000 6.550